Entry 1:
CaNd2CdHg4 | PBE | optimized geometry

Calculated values
Formation energy from the elements in kJ/mol of formula units: -364
N(E_F) in states/eV per atom: 0.607

CIF file:
```
data_CaNd2CdHg4
_space_group_name_H-M_alt 'R -3 m'
_space_group_IT_number 166
_space_group_name_Hall '-R 3 2"'
_cell_length_a 5.2779
_cell_length_b 5.2779
_cell_length_c 26.1004
_cell_angle_alpha 90.00
_cell_angle_beta 90.00
_cell_angle_gamma 120.00
loop_
_atom_site_label
_atom_site_type_symbol
_atom_site_fract_x
_atom_site_fract_y
_atom_site_fract_z
Ca1 Ca 0.0000 0.0000 0.0000
Nd1 Nd 0.0000 0.0000 0.2443
Cd1 Cd 0.0000 0.0000 0.5000
Hg1 Hg 0.0000 0.0000 0.1223
Hg2 Hg 0.0000 0.0000 0.3713
```

***

Entry 2:
AuSBr3 | PBE | optimized geometry

Calculated values
N(E_F) in states/eV per atom: 0.872
E_form (uncorrected) in eV/atom: 0.54

CIF file:
```
data_AuSBr3
_space_group_name_H-M_alt 'P m -3 m'
_space_group_IT_number 221
_space_group_name_Hall '-P 4 2 3'
_cell_length_a 5.2992
_cell_length_b 5.2992
_cell_length_c 5.2992
_cell_angle_alpha 90.00
_cell_angle_beta 90.00
_cell_angle_gamma 90.00
loop_
_atom_site_label
_atom_site_type_symbol
_atom_site_fract_x
_atom_site_fract_y
_atom_site_fract_z
Au1 Au 0.0000 0.0000 0.0000
S1 S 0.5000 0.5000 0.5000
Br1 Br 0.0000 0.0000 0.5000
```

***

Entry 3:
La3Cd2Hg3 | PBE | optimized geometry

Calculated values
Formation energy from the elements in kJ/mol of formula units: -313
N(E_F) in states/eV per atom: 1.170

CIF file:
```
data_La3Cd2Hg3
_space_group_name_H-M_alt 'C m c m'
_space_group_IT_number 63
_space_group_name_Hall '-C 2c 2'
_cell_length_a 4.9043
_cell_length_b 11.6299
_cell_length_c 16.0550
_cell_angle_alpha 90.00
_cell_angle_beta 90.00
_cell_angle_gamma 90.00
loop_
_atom_site_label
_atom_site_type_symbol
_atom_site_fract_x
_atom_site_fract_y
_atom_site_fract_z
La1 La 0.0000 0.0908 0.1036
La2 La 0.0000 0.3620 0.2500
Cd1 Cd 0.0000 0.2087 0.6018
Hg1 Hg 0.0000 0.3607 0.7500
Hg2 Hg 0.0000 0.3895 0.0441
```

***

Entry 4:
Na2TlCd9 | PBE | optimized geometry

Calculated values
Formation energy from the elements in kJ/mol of formula units: -44
N(E_F) in states/eV per atom: 0.457

CIF file:
```
data_Na2TlCd9
_space_group_name_H-M_alt 'R -3 m'
_space_group_IT_number 166
_space_group_name_Hall '-R 3 2"'
_cell_length_a 6.0559
_cell_length_b 6.0559
_cell_length_c 29.0250
_cell_angle_alpha 90.00
_cell_angle_beta 90.00
_cell_angle_gamma 120.00
loop_
_atom_site_label
_atom_site_type_symbol
_atom_site_fract_x
_atom_site_fract_y
_atom_site_fract_z
Na1 Na 0.0000 0.0000 0.1428
Tl1 Tl 0.0000 0.0000 0.0000
Cd1 Cd 0.0000 0.0000 0.3346
Cd2 Cd 0.0000 0.0000 0.5000
Cd3 Cd 0.0061 0.5030 0.9150
```

***

Entry 5:
TlPd2Au | PBE | optimized geometry

Calculated values
Formation energy from the elements in kJ/mol of formula units: -62
N(E_F) in states/eV per atom: 0.428

CIF file:
```
data_TlPd2Au
_space_group_name_H-M_alt 'F m -3 m'
_space_group_IT_number 225
_space_group_name_Hall '-F 4 2 3'
_cell_length_a 6.5800
_cell_length_b 6.5800
_cell_length_c 6.5800
_cell_angle_alpha 90.00
_cell_angle_beta 90.00
_cell_angle_gamma 90.00
loop_
_atom_site_label
_atom_site_type_symbol
_atom_site_fract_x
_atom_site_fract_y
_atom_site_fract_z
Tl1 Tl 0.0000 0.0000 0.0000
Pd1 Pd 0.2500 0.2500 0.2500
Au1 Au 0.0000 0.0000 0.5000
```

***

Entry 6:
K2ReMo | PBE | optimized geometry

Calculated values
Formation energy from the elements in kJ/mol of formula units: 555
N(E_F) in states/eV per atom: 0.860

CIF file:
```
data_K2ReMo
_space_group_name_H-M_alt 'C m m m'
_space_group_IT_number 65
_space_group_name_Hall '-C 2 2'
_cell_length_a 3.1352
_cell_length_b 4.4399
_cell_length_c 12.2327
_cell_angle_alpha 90.00
_cell_angle_beta 90.00
_cell_angle_gamma 90.00
loop_
_atom_site_label
_atom_site_type_symbol
_atom_site_fract_x
_atom_site_fract_y
_atom_site_fract_z
K1 K 0.0000 0.0000 0.2408
Re1 Re 0.0000 0.5000 0.0000
Mo1 Mo 0.0000 0.5000 0.5000
```

***

Entry 7:
SrMgSb2I | PBE | optimized geometry

Calculated values
N(E_F) in states/eV per atom: 0.840
E_form (uncorrected) in eV/atom: 0.34

CIF file:
```
data_SrMgSb2I
_space_group_name_H-M_alt 'P 4/m m m'
_space_group_IT_number 123
_space_group_name_Hall '-P 4 2'
_cell_length_a 6.2441
_cell_length_b 6.2441
_cell_length_c 6.1420
_cell_angle_alpha 90.00
_cell_angle_beta 90.00
_cell_angle_gamma 90.00
loop_
_atom_site_label
_atom_site_type_symbol
_atom_site_fract_x
_atom_site_fract_y
_atom_site_fract_z
Sr1 Sr 0.0000 0.0000 0.0000
Mg1 Mg 0.5000 0.5000 0.5000
Sb1 Sb 0.0000 0.5000 0.0000
I1 I 0.0000 0.0000 0.5000
```

***

Entry 8:
Ce2Pd4Rh | PBE | optimized geometry

Calculated values
Formation energy from the elements in kJ/mol of formula units: -485
N(E_F) in states/eV per atom: 0.963

CIF file:
```
data_Ce2Pd4Rh
_space_group_name_H-M_alt 'I 4/m m m'
_space_group_IT_number 139
_space_group_name_Hall '-I 4 2'
_cell_length_a 5.6731
_cell_length_b 5.6731
_cell_length_c 8.5349
_cell_angle_alpha 90.00
_cell_angle_beta 90.00
_cell_angle_gamma 90.00
loop_
_atom_site_label
_atom_site_type_symbol
_atom_site_fract_x
_atom_site_fract_y
_atom_site_fract_z
Ce1 Ce 0.0000 0.5000 0.0000
Pd1 Pd 0.2500 0.2500 0.2500
Rh1 Rh 0.0000 0.0000 0.0000
```

***

Entry 9:
CuIr2Pt | PBE | optimized geometry

Calculated values
Formation energy from the elements in kJ/mol of formula units: 56
N(E_F) in states/eV per atom: 0.971

CIF file:
```
data_CuIr2Pt
_space_group_name_H-M_alt 'P m m m'
_space_group_IT_number 47
_space_group_name_Hall '-P 2 2'
_cell_length_a 2.7595
_cell_length_b 3.8156
_cell_length_c 5.4354
_cell_angle_alpha 90.00
_cell_angle_beta 90.00
_cell_angle_gamma 90.00
loop_
_atom_site_label
_atom_site_type_symbol
_atom_site_fract_x
_atom_site_fract_y
_atom_site_fract_z
Cu1 Cu 0.0000 0.0000 0.0000
Ir1 Ir 0.5000 0.5000 0.2419
Pt1 Pt 0.0000 0.0000 0.5000
```

***

Entry 10:
LaTmCu2Si2 | PBE | optimized geometry

Calculated values
N(E_F) in states/eV per atom: 0.315
E_form (uncorrected) in eV/atom: -0.66

CIF file:
```
data_LaTmCu2Si2
_space_group_name_H-M_alt 'P -3 m 1'
_space_group_IT_number 164
_space_group_name_Hall '-P 3 2"'
_cell_length_a 4.2028
_cell_length_b 4.2028
_cell_length_c 7.6792
_cell_angle_alpha 90.00
_cell_angle_beta 90.00
_cell_angle_gamma 120.00
loop_
_atom_site_label
_atom_site_type_symbol
_atom_site_fract_x
_atom_site_fract_y
_atom_site_fract_z
La1 La 0.0000 0.0000 0.0000
Tm1 Tm 0.0000 0.0000 0.5000
Cu1 Cu 0.3333 0.6667 0.7173
Si1 Si 0.3333 0.6667 0.2694
```

***

Entry 11:
Zr2MnCo | PBE | optimized geometry

Calculated values
Formation energy from the elements in kJ/mol of formula units: -8
N(E_F) in states/eV per atom: 0.862

CIF file:
```
data_Zr2MnCo
_space_group_name_H-M_alt 'P 4 m m'
_space_group_IT_number 99
_space_group_name_Hall 'P 4 -2'
_cell_length_a 3.1792
_cell_length_b 3.1792
_cell_length_c 6.8937
_cell_angle_alpha 90.00
_cell_angle_beta 90.00
_cell_angle_gamma 90.00
loop_
_atom_site_label
_atom_site_type_symbol
_atom_site_fract_x
_atom_site_fract_y
_atom_site_fract_z
Zr1 Zr 0.0000 0.0000 0.0000
Zr2 Zr 0.5000 0.5000 0.3199
Mn1 Mn 0.5000 0.5000 0.7374
Co1 Co 0.0000 0.0000 0.5498
```

***

Entry 12:
Fe2NiAu | PBE | optimized geometry

Calculated values
Formation energy from the elements in kJ/mol of formula units: 59
N(E_F) in states/eV per atom: 0.728

CIF file:
```
data_Fe2NiAu
_space_group_name_H-M_alt 'P 1 2/m 1'
_space_group_IT_number 10
_space_group_name_Hall '-P 2y'
_cell_length_a 4.4554
_cell_length_b 2.7380
_cell_length_c 4.5773
_cell_angle_alpha 90.00
_cell_angle_beta 107.37
_cell_angle_gamma 90.00
loop_
_atom_site_label
_atom_site_type_symbol
_atom_site_fract_x
_atom_site_fract_y
_atom_site_fract_z
Fe1 Fe 0.0000 0.0000 0.0000
Fe2 Fe 0.5000 0.5000 0.0000
Ni1 Ni 0.0000 0.5000 0.5000
Au1 Au 0.5000 0.0000 0.5000
```

***

Entry 13:
BeInTc | PBE | optimized geometry

Calculated values
Formation energy from the elements in kJ/mol of formula units: 110
N(E_F) in states/eV per atom: 0.301

CIF file:
```
data_BeInTc
_space_group_name_H-M_alt 'F -4 3 m'
_space_group_IT_number 216
_space_group_name_Hall 'F -4 2 3'
_cell_length_a 5.7063
_cell_length_b 5.7063
_cell_length_c 5.7063
_cell_angle_alpha 90.00
_cell_angle_beta 90.00
_cell_angle_gamma 90.00
loop_
_atom_site_label
_atom_site_type_symbol
_atom_site_fract_x
_atom_site_fract_y
_atom_site_fract_z
Be1 Be 0.0000 0.0000 0.0000
In1 In 0.2500 0.2500 0.7500
Tc1 Tc 0.2500 0.2500 0.2500
```

***

Entry 14:
SiP2SeO | PBE | optimized geometry

Calculated values
N(E_F) in states/eV per atom: 0.431
E_form (uncorrected) in eV/atom: -0.12

CIF file:
```
data_SiP2SeO
_space_group_name_H-M_alt 'P 4/m m m'
_space_group_IT_number 123
_space_group_name_Hall '-P 4 2'
_cell_length_a 4.7499
_cell_length_b 4.7499
_cell_length_c 3.3496
_cell_angle_alpha 90.00
_cell_angle_beta 90.00
_cell_angle_gamma 90.00
loop_
_atom_site_label
_atom_site_type_symbol
_atom_site_fract_x
_atom_site_fract_y
_atom_site_fract_z
Si1 Si 0.0000 0.0000 0.0000
P1 P 0.0000 0.5000 0.0000
Se1 Se 0.5000 0.5000 0.5000
O1 O 0.0000 0.0000 0.5000
```

***

Entry 15:
SrAlZn2Pt4 | PBE | optimized geometry

Calculated values
Formation energy from the elements in kJ/mol of formula units: -547
N(E_F) in states/eV per atom: 0.459

CIF file:
```
data_SrAlZn2Pt4
_space_group_name_H-M_alt 'R -3 m'
_space_group_IT_number 166
_space_group_name_Hall '-R 3 2"'
_cell_length_a 4.3554
_cell_length_b 4.3554
_cell_length_c 26.7598
_cell_angle_alpha 90.00
_cell_angle_beta 90.00
_cell_angle_gamma 120.00
loop_
_atom_site_label
_atom_site_type_symbol
_atom_site_fract_x
_atom_site_fract_y
_atom_site_fract_z
Sr1 Sr 0.0000 0.0000 0.0000
Al1 Al 0.0000 0.0000 0.5000
Zn1 Zn 0.0000 0.0000 0.2408
Pt1 Pt 0.0000 0.0000 0.1351
Pt2 Pt 0.0000 0.0000 0.4092
```

***

Entry 16:
CdTeN2F | PBE | optimized geometry

Calculated values
N(E_F) in states/eV per atom: 0.348
E_form (uncorrected) in eV/atom: 1.65

CIF file:
```
data_CdTeN2F
_space_group_name_H-M_alt 'P 4/m m m'
_space_group_IT_number 123
_space_group_name_Hall '-P 4 2'
_cell_length_a 4.6936
_cell_length_b 4.6936
_cell_length_c 4.2532
_cell_angle_alpha 90.00
_cell_angle_beta 90.00
_cell_angle_gamma 90.00
loop_
_atom_site_label
_atom_site_type_symbol
_atom_site_fract_x
_atom_site_fract_y
_atom_site_fract_z
Cd1 Cd 0.0000 0.0000 0.0000
Te1 Te 0.5000 0.5000 0.0000
N1 N 0.0000 0.5000 0.5000
F1 F 0.5000 0.5000 0.5000
```

***

Entry 17:
LaRe2Hg | PBE | optimized geometry

Calculated values
Formation energy from the elements in kJ/mol of formula units: 306
N(E_F) in states/eV per atom: 1.029

CIF file:
```
data_LaRe2Hg
_space_group_name_H-M_alt 'P m m m'
_space_group_IT_number 47
_space_group_name_Hall '-P 2 2'
_cell_length_a 2.9034
_cell_length_b 4.5233
_cell_length_c 6.5102
_cell_angle_alpha 90.00
_cell_angle_beta 90.00
_cell_angle_gamma 90.00
loop_
_atom_site_label
_atom_site_type_symbol
_atom_site_fract_x
_atom_site_fract_y
_atom_site_fract_z
La1 La 0.0000 0.0000 0.0000
Re1 Re 0.5000 0.5000 0.3175
Hg1 Hg 0.0000 0.0000 0.5000
```